Entry 1:
First-principles (PBE) data for an optimized crystal structure of SrTl2Cu2Cl6, as listed in Alexandria via LeMat-Bulk.

Cell: 13.0327 7.4689 7.8664 Å, 90.00 121.48 90.00°
Closest atoms and distances in Å follow each position.
Space group C2/m (No. 12)
Symmetry-distinct sites (fractional):
Sr 0.0000 0.0000 0.0000  6 Cl 2.88-2.90
Tl 0.2283 0.0000 0.6947  5 Cl 3.22-3.31
Cu 0.0483 0.5000 0.7129  3 Cl 2.22-2.27
Cl 0.0639 0.2558 0.3178  1 Cu 2.27
Cl 0.2475 0.5000 0.8658  1 Cu 2.22

Results
The total magnetic moment is 0.2 μB per formula unit. The uncorrected formation energy comes out at -113.22 kJ per mole of atoms. For the density of states at the Fermi level, the calculation gives 0.000 states/eV/f.u.

---

Entry 2:
First-principles (PBE) data for an optimized crystal structure of Rb2SmPdO4, as listed in Alexandria via LeMat-Bulk.

Cell: 6.0918 14.0083 24.0262 Å, 90.00 90.00 90.00°
Closest atoms and distances in Å follow each position.
Space group Fddd (No. 70, origin choice 2)
Symmetry-distinct sites (fractional):
Rb 0.1250 0.1250 0.3216  2 O 2.69
Sm 0.1250 0.1250 0.1250  4 O 2.21
Pd 0.1250 0.1250 0.6250  4 O 2.04
O 0.1051 0.2735 0.8579  1 Pd 2.04, 1 Sm 2.21

Results
The total magnetic moment is 1.1 μB per formula unit. The uncorrected formation energy comes out at -127.37 kJ per mole of atoms. For the density of states at the Fermi level, the calculation gives 4.604 states/eV/f.u.

---

Entry 3:
First-principles (PBE) data for an optimized crystal structure of CaLa2Nd6Dy3, as listed in Alexandria via LeMat-Bulk.

Cell: 6.3647 11.0305 12.1194 Å, 90.00 100.08 90.00°
Closest atoms and distances in Å follow each position.
Space group C2/m (No. 12)
Symmetry-distinct sites (fractional):
Ca 0.0000 0.0000 0.0000  6 La 3.67-3.68, 6 Nd 3.75
La 0.0000 0.3327 0.0000  3 La 3.67-3.69, 3 Ca 3.67-3.68, 6 Nd 3.73-3.74
Nd 0.2450 0.3314 0.7422  3 Dy 3.58-3.59, 6 Nd 3.65-3.72, 2 La 3.73, 1 Ca 3.75
Nd 0.2494 0.5000 0.2584  3 Dy 3.57-3.58, 6 Nd 3.65-3.72, 2 La 3.74, 1 Ca 3.75
Dy 0.0000 0.1659 0.5000  6 Nd 3.58-3.59, 6 Dy 3.66-3.69
Dy 0.0000 0.5000 0.5000  6 Nd 3.57-3.59, 6 Dy 3.67-3.69

Results
The total magnetic moment is 0.0 μB per formula unit. The total energy is -53.9 eV/f.u. For the density of states at the Fermi level, the calculation gives 15.365 states/eV/f.u.

---

Entry 4:
First-principles (PBE) data for an optimized crystal structure of RbMg2ScI, as listed in Alexandria via LeMat-Bulk.

Cell: 6.0265 6.0265 5.7720 Å, 90.00 90.00 90.00°
Closest atoms and distances in Å follow each position.
Space group P4/mmm (No. 123)
Symmetry-distinct sites (fractional):
Rb 0.0000 0.0000 0.0000  8 Mg 4.17, 4 I 4.26
Mg 0.0000 0.5000 0.5000  2 Sc 3.01
Sc 0.5000 0.5000 0.5000  2 I 2.89, 4 Mg 3.01
I 0.5000 0.5000 0.0000  2 Sc 2.89

Results
The total magnetic moment is 0.0 μB per formula unit. The uncorrected formation energy comes out at 8.92 kJ per mole of atoms. For the density of states at the Fermi level, the calculation gives 6.453 states/eV/f.u.

---

Entry 5:
First-principles (PBE) data for an optimized crystal structure of BeFe2Ag, as listed in Alexandria via LeMat-Bulk.

Cell: 3.5096 3.5096 4.0125 Å, 90.00 90.00 90.00°
Closest atoms and distances in Å follow each position.
Space group P4/mmm (No. 123)
Symmetry-distinct sites (fractional):
Be 0.0000 0.0000 0.0000  4 Ag 2.48, 8 Fe 2.67
Fe 0.0000 0.5000 0.5000  4 Fe 2.48, 4 Be 2.67, 4 Ag 2.67
Ag 0.5000 0.5000 0.0000  4 Be 2.48, 8 Fe 2.67

Results
The total magnetic moment is 4.7 μB per formula unit. The total energy is -22.5 eV/f.u. For the density of states at the Fermi level, the calculation gives 3.243 states/eV/f.u.

---

Entry 6:
First-principles (PBE) data for an optimized crystal structure of Tb6AsRh2Se3, as listed in Alexandria via LeMat-Bulk.

Cell: 18.1771 4.0365 8.3999 Å, 90.00 106.20 90.00°
Closest atoms and distances in Å follow each position.
Space group C2/m (No. 12)
Symmetry-distinct sites (fractional):
Tb 0.0098 0.0000 0.2489  1 Rh 2.82, 2 As 2.88, 3 Se 2.96-2.99
Tb 0.1674 0.5000 0.1121  2 Rh 2.81, 1 As 2.92, 3 Se 3.01-3.03
Tb 0.1708 0.5000 0.5782  3 Rh 2.76-2.81, 3 Se 2.99-3.04
As 0.0000 0.5000 0.0000  6 Tb 2.88-2.92
Rh 0.1711 0.0000 0.3462  6 Tb 2.76-2.82
Se 0.0000 0.5000 0.5000  6 Tb 2.96-2.99
Se 0.1612 0.0000 0.8431  6 Tb 2.99-3.04

Results
The total magnetic moment is 0.0 μB per formula unit. The uncorrected formation energy comes out at -134.55 kJ per mole of atoms. For the density of states at the Fermi level, the calculation gives 5.103 states/eV/f.u.

---

Entry 7:
First-principles (PBE) data for an optimized crystal structure of HfZr3N2, as listed in Alexandria via LeMat-Bulk.

Cell: 6.5633 6.5633 5.2578 Å, 90.00 90.00 120.00°
Closest atoms and distances in Å follow each position.
Space group P-3m1 (No. 164)
Symmetry-distinct sites (fractional):
Hf 0.3333 0.6667 0.2715  3 N 2.24
Zr 0.1660 0.3320 0.7471  3 N 2.29-2.30
N 0.0000 0.0000 0.5000  6 Zr 2.29
N 0.0000 0.5000 0.5000  2 Hf 2.24, 4 Zr 2.30

Results
The total magnetic moment is 0.0 μB per formula unit. The uncorrected formation energy comes out at -114.60 kJ per mole of atoms. For the density of states at the Fermi level, the calculation gives 6.776 states/eV/f.u.

---

Entry 8:
First-principles (PBE) data for an optimized crystal structure of LaNd9Cd2, as listed in Alexandria via LeMat-Bulk.

Cell: 5.0434 5.0434 15.3436 Å, 90.00 90.00 90.00°
Closest atoms and distances in Å follow each position.
Space group P4/mmm (No. 123)
Symmetry-distinct sites (fractional):
La 0.0000 0.0000 0.0000  12 Nd 3.57-3.69
Nd 0.0000 0.5000 0.1753  8 Nd 3.55-3.69, 2 Cd 3.57, 2 La 3.69
Nd 0.0000 0.5000 0.5000  4 Cd 3.52, 8 Nd 3.54-3.57
Nd 0.5000 0.5000 0.0000  4 La 3.57, 8 Nd 3.69
Nd 0.5000 0.5000 0.3385  8 Nd 3.54-3.55, 4 Cd 3.57
Cd 0.0000 0.0000 0.3404  12 Nd 3.52-3.57

Results
The total magnetic moment is 0.0 μB per formula unit. The total energy is -50.3 eV/f.u. For the density of states at the Fermi level, the calculation gives 17.392 states/eV/f.u.

---

Entry 9:
First-principles (PBE) data for an optimized crystal structure of RbSr3Hg, as listed in Alexandria via LeMat-Bulk.

Cell: 7.6620 7.6620 7.6620 Å, 90.00 90.00 90.00°
Closest atoms and distances in Å follow each position.
Space group Pm-3m (No. 221)
Symmetry-distinct sites (fractional):
Rb 0.0000 0.0000 0.0000  6 Sr 3.83
Sr 0.0000 0.0000 0.5000  2 Rb 3.83
Hg 0.5000 0.5000 0.5000  12 Sr 5.42

Results
The total magnetic moment is 0.0 μB per formula unit. The total energy is -2.6 eV/f.u. For the density of states at the Fermi level, the calculation gives 8.175 states/eV/f.u.

---

Entry 10:
First-principles (PBE) data for an optimized crystal structure of Cu3Sb5Au12, as listed in Alexandria via LeMat-Bulk.

Cell: 15.6190 15.6190 15.6190 Å, 90.00 90.00 90.00°
Closest atoms and distances in Å follow each position.
Space group Ia-3d (No. 230)
Symmetry-distinct sites (fractional):
Cu 0.0000 0.2500 0.1250  8 Au 2.68-2.88
Sb 0.0000 0.0000 0.0000  6 Au 2.71
Sb 0.0000 0.2500 0.3750  4 Au 2.67
Au 0.0099 0.0811 0.6534  2 Sb 2.67-2.71, 2 Cu 2.68-2.88, 1 Au 2.72

Results
The total magnetic moment is 0.0 μB per formula unit. The uncorrected formation energy comes out at 15.77 kJ per mole of atoms. For the density of states at the Fermi level, the calculation gives 11.700 states/eV/f.u.

---

Entry 11:
First-principles (PBE) data for an optimized crystal structure of Dy4Tc, as listed in Alexandria via LeMat-Bulk.

Cell: 6.3890 7.6831 6.1876 Å, 90.00 107.60 90.00°
Closest atoms and distances in Å follow each position.
Space group P2/c (No. 13)
Symmetry-distinct sites (fractional):
Dy 0.2295 0.1434 0.0277  2 Tc 2.76-2.79
Dy 0.2577 0.3867 0.5178  1 Tc 2.69
Tc 0.5000 0.1231 0.7500  6 Dy 2.69-2.79

Results
The total magnetic moment is 0.0 μB per formula unit. The total energy is -28.5 eV/f.u. For the density of states at the Fermi level, the calculation gives 4.712 states/eV/f.u.

---

Entry 12:
First-principles (PBE) data for an optimized crystal structure of LuAgPtPb, as listed in Alexandria via LeMat-Bulk.

Cell: 6.9584 6.9584 6.9584 Å, 90.00 90.00 90.00°
Closest atoms and distances in Å follow each position.
Space group F-43m (No. 216)
Symmetry-distinct sites (fractional):
Lu 0.0000 0.0000 0.0000  4 Pt 3.01, 4 Ag 3.01
Ag 0.2500 0.2500 0.7500  4 Pb 3.01, 4 Lu 3.01
Pt 0.2500 0.2500 0.2500  4 Pb 3.01, 4 Lu 3.01
Pb 0.0000 0.0000 0.5000  4 Ag 3.01, 4 Pt 3.01

Results
The total magnetic moment is 0.0 μB per formula unit. The total energy is -19.1 eV/f.u. For the density of states at the Fermi level, the calculation gives 2.699 states/eV/f.u.

---

Entry 13:
First-principles (PBE) data for an optimized crystal structure of SrLaAl, as listed in Alexandria via LeMat-Bulk.

Cell: 20.0543 3.7329 5.5616 Å, 90.00 95.16 90.00°
Closest atoms and distances in Å follow each position.
Space group C2/m (No. 12)
Symmetry-distinct sites (fractional):
Sr 0.1961 0.0000 0.2311  2 Al 3.42, 2 La 3.69-3.72, 2 Sr 3.73
La 0.0733 0.0000 0.6950  6 Al 3.27-3.44, 1 La 3.49
Al 0.0527 0.5000 0.1745  1 Al 2.74

Results
The total magnetic moment is 0.0 μB per formula unit. The total energy is -10.8 eV/f.u. For the density of states at the Fermi level, the calculation gives 2.311 states/eV/f.u.

---

Entry 14:
First-principles (PBE) data for an optimized crystal structure of ThGeC, as listed in Alexandria via LeMat-Bulk.

Cell: 3.7841 3.7841 20.3888 Å, 90.00 90.00 90.00°
Closest atoms and distances in Å follow each position.
Space group I4/mmm (No. 139)
Symmetry-distinct sites (fractional):
Th 0.0000 0.0000 0.1852  5 C 2.46-2.68
Ge 0.0000 0.0000 0.4046  1 C 2.02
C 0.0000 0.0000 0.3057  1 Ge 2.02

Results
The total magnetic moment is 0.0 μB per formula unit. The total energy is -21.6 eV/f.u. For the density of states at the Fermi level, the calculation gives 1.536 states/eV/f.u.

---

Entry 15:
First-principles (PBE) data for an optimized crystal structure of BaZrTe3, as listed in Alexandria via LeMat-Bulk.

Cell: 9.8151 4.3216 16.2167 Å, 90.00 90.00 90.00°
Closest atoms and distances in Å follow each position.
Space group Pnma (No. 62)
Symmetry-distinct sites (fractional):
Ba 0.0630 0.2500 0.1743  8 Te 3.54-3.67
Zr 0.1615 0.7500 0.4427  6 Te 2.84-2.98
Te 0.0277 0.7500 0.6075  3 Zr 2.96-2.98
Te 0.1630 0.7500 0.0063  2 Zr 2.95
Te 0.2151 0.2500 0.7844  1 Zr 2.84

Results
The total magnetic moment is 0.0 μB per formula unit. The uncorrected formation energy comes out at -117.22 kJ per mole of atoms. For the density of states at the Fermi level, the calculation gives 0.301 states/eV/f.u.

---

Entry 16:
First-principles (PBE) data for an optimized crystal structure of GaPdBr, as listed in Alexandria via LeMat-Bulk.

Cell: 3.4988 4.6391 8.8763 Å, 90.00 100.86 90.00°
Closest atoms and distances in Å follow each position.
Space group P2_1 (No. 4)
Symmetry-distinct sites (fractional):
Ga 0.0548 0.0000 0.1147  1 Br 2.44, 4 Pd 2.56-2.59
Pd 0.4553 0.9106 0.9062  4 Ga 2.56-2.59, 2 Pd 2.84
Br 0.1602 0.6712 0.3328  1 Ga 2.44

Results
The total magnetic moment is 0.0 μB per formula unit. The uncorrected formation energy comes out at -47.02 kJ per mole of atoms. For the density of states at the Fermi level, the calculation gives 0.676 states/eV/f.u.

---

Entry 17:
First-principles (PBE) data for an optimized crystal structure of MgRh5, as listed in Alexandria via LeMat-Bulk.

Cell: 7.2442 7.2442 7.2442 Å, 90.00 90.00 90.00°
Closest atoms and distances in Å follow each position.
Space group F-43m (No. 216)
Symmetry-distinct sites (fractional):
Mg 0.0000 0.0000 0.0000  16 Rh 3.00-3.14
Rh 0.1249 0.1249 0.3751  6 Rh 2.56
Rh 0.2500 0.2500 0.7500  12 Rh 3.00, 4 Mg 3.14

Results
The total magnetic moment is 3.5 μB per formula unit. The total energy is -37.6 eV/f.u. For the density of states at the Fermi level, the calculation gives 10.869 states/eV/f.u.

---

Entry 18:
First-principles (PBE) data for an optimized crystal structure of YZrAl2, as listed in Alexandria via LeMat-Bulk.

Cell: 4.3969 3.5057 11.3569 Å, 90.00 90.00 90.00°
Closest atoms and distances in Å follow each position.
Space group Amm2 (No. 38)
Symmetry-distinct sites (fractional):
Y 0.0000 0.0000 0.0000  7 Al 3.01-3.17
Zr 0.5000 0.0000 0.6845  7 Al 2.96-3.18
Al 0.0000 0.0000 0.2669  2 Al 2.70, 4 Zr 2.96
Al 0.5000 0.0000 0.4044  2 Al 2.70, 4 Y 3.01

Results
The total magnetic moment is 0.5 μB per formula unit. The total energy is -24.0 eV/f.u. For the density of states at the Fermi level, the calculation gives 4.512 states/eV/f.u.

---

Entry 19:
First-principles (PBE) data for an optimized crystal structure of LiTaPd, as listed in Alexandria via LeMat-Bulk.

Cell: 4.0788 4.0788 20.7814 Å, 90.00 90.00 120.00°
Closest atoms and distances in Å follow each position.
Space group R-3m (No. 166, hexagonal axes)
Symmetry-distinct sites (fractional):
Li 0.0000 0.0000 0.1460  3 Li 2.51, 3 Pd 2.55
Ta 0.0000 0.0000 0.2943  4 Pd 2.67-2.87, 3 Ta 2.86
Pd 0.0000 0.0000 0.4326  3 Li 2.55, 3 Ta 2.67, 1 Pd 2.80

Results
The total magnetic moment is 0.0 μB per formula unit. The total energy is -18.8 eV/f.u. For the density of states at the Fermi level, the calculation gives 2.281 states/eV/f.u.

---

Entry 20:
First-principles (PBE) data for an optimized crystal structure of PdPt, as listed in Alexandria via LeMat-Bulk.

Cell: 9.8423 9.8423 2.7152 Å, 90.00 90.00 90.00°
Closest atoms and distances in Å follow each position.
Space group P4/m (No. 83)
Symmetry-distinct sites (fractional):
Pd 0.0638 0.1816 0.0000  8 Pd 2.68-2.84, 2 Pt 2.77
Pd 0.1547 0.6896 0.5000  4 Pt 2.66-2.83, 6 Pd 2.72-2.84
Pt 0.1100 0.4230 0.5000  5 Pt 2.64-2.72, 4 Pd 2.66-2.83
Pt 0.3453 0.3943 0.0000  6 Pt 2.61-2.72, 2 Pd 2.74

Results
The total magnetic moment is 0.0 μB per formula unit. The total energy is -10.9 eV/f.u. For the density of states at the Fermi level, the calculation gives 3.362 states/eV/f.u.